This record from Alexandria via LeMat-Bulk describes a relaxed TeMo crystal. The functional is PBE.

## Properties
DFT total energy (eV per atom): -6.619
V (Å³ per cell): 480.14
Size of the total moment (μB per formula unit): 0.0
ΔE_f (raw) (meV/atom): 368
Energy relative to the lowest polymorph listed for this composition (eV/f.u.): 0.76

Unit cell a=11.756 b=11.756 c=3.474 alpha=90.00 beta=90.00 gamma=90.00
Element x y z (fractional)
Te 0.453 0.260 0.000
Te 0.547 0.740 0.000
Te 0.740 0.453 0.000
Te 0.260 0.547 0.000
Te 0.953 0.760 0.500
Te 0.047 0.240 0.500
Te 0.240 0.953 0.500
Te 0.760 0.047 0.500
Mo 0.315 0.791 0.000
Mo 0.685 0.209 0.000
Mo 0.209 0.315 0.000
Mo 0.791 0.685 0.000
Mo 0.815 0.291 0.500
Mo 0.185 0.709 0.500
Mo 0.709 0.815 0.500
Mo 0.291 0.185 0.500

***

This record from Alexandria via LeMat-Bulk describes a relaxed Te3Mo5 crystal. The functional is PBE.

## Properties
DFT total energy (eV per atom): -7.612
V (Å³ per cell): 341.66
Size of the total moment (μB per formula unit): 0.0
ΔE_f (raw) (meV/atom): 336
Energy relative to the lowest polymorph listed for this composition (eV/f.u.): 0.00

Unit cell a=8.178 b=8.238 c=8.945 alpha=95.27 beta=94.92 gamma=143.73
Element x y z (fractional)
Mo 0.247 0.752 0.500
Mo 0.753 0.248 0.500
Mo 0.715 0.057 0.760
Mo 0.285 0.943 0.240
Mo 0.775 0.555 0.354
Mo 0.225 0.445 0.646
Mo 0.545 0.203 0.760
Mo 0.455 0.797 0.240
Mo 0.078 0.298 0.354
Mo 0.921 0.702 0.646
Te 0.819 0.819 0.139
Te 0.180 0.181 0.861
Te 0.327 0.192 0.500
Te 0.672 0.808 0.500
Te 0.180 0.680 0.861
Te 0.819 0.320 0.139

***

This record from Alexandria via LeMat-Bulk describes a relaxed Te2Mo crystal. The functional is PBE.

## Properties
DFT total energy (eV per atom): -5.641
V (Å³ per cell): 154.72
Size of the total moment (μB per formula unit): 0.0
ΔE_f (raw) (meV/atom): 63

Unit cell a=8.804 b=8.804 c=5.213 alpha=90.00 beta=90.00 gamma=157.48
Element x y z (fractional)
Te 0.153 0.847 0.750
Te 0.407 0.593 0.750
Te 0.593 0.407 0.250
Te 0.847 0.153 0.250
Mo 0.780 0.220 0.750
Mo 0.220 0.780 0.250